# Mg4HgAu, relaxed, DFT PBEsol
data_Mg4HgAu
_chemical_formula_sum 'Mg16 Hg4 Au4'
_cell_length_a 7.8685
_cell_length_b 7.8685
_cell_length_c 7.8685
_cell_angle_alpha 90.00
_cell_angle_beta 90.00
_cell_angle_gamma 90.00
_symmetry_space_group_name_H-M 'F -4 3 m'
_symmetry_Int_Tables_number 216
_symmetry_space_group_name_Hall 'F -4 2 3'
loop_
_atom_site_label
_atom_site_type_symbol
_atom_site_fract_x
_atom_site_fract_y
_atom_site_fract_z
Mg1 Mg 0.1246 0.1246 0.1246
Hg1 Hg 0.0000 0.0000 0.5000
Au1 Au 0.2500 0.2500 0.7500
# Mass density: 6.7 g/cm³
# Raw total energy: -0.137 Ry per atom